The following is a DFT calculation (PBE-GGA) of crystalline ZrTlTe2 at its relaxed geometry.

Results
* D(E_F): 2.61 states/eV/f.u.
* calculated total energy: -154.56 eV per cell
* spin magnetization: 0.00 μB per formula unit

Cell lengths 8.1972, 8.1972, 15.8742 Å; angles 101.60, 101.60, 96.73 degrees
Last column: nearest neighbours and their distance in Å.
Fractional coordinates of all 32 atoms:
1 Zr 0.0794 0.8500 0.6274  5 Te 2.89-3.16, 1 Tl 3.22
2 Zr 0.1500 0.9206 0.8726  5 Te 2.89-3.16, 1 Tl 3.22
3 Zr 0.3330 0.5477 0.6419  4 Te 2.80-3.00
4 Zr 0.4523 0.6670 0.8581  4 Te 2.80-3.00
5 Zr 0.5477 0.3330 0.1419  4 Te 2.80-3.00
6 Zr 0.6670 0.4523 0.3581  4 Te 2.80-3.00
7 Zr 0.8500 0.0794 0.1274  5 Te 2.89-3.16, 1 Tl 3.22
8 Zr 0.9206 0.1500 0.3726  5 Te 2.89-3.16, 1 Tl 3.22
9 Tl 0.0742 0.5696 0.1072  5 Te 3.21-3.39, 2 Tl 3.29-3.50
10 Tl 0.3016 0.3137 0.3801  2 Zr 3.19-3.22, 4 Te 3.29-3.49, 1 Tl 3.50
11 Tl 0.3137 0.3016 0.8801  2 Zr 3.19-3.22, 4 Te 3.29-3.49, 1 Tl 3.50
12 Tl 0.4304 0.9258 0.3928  5 Te 3.21-3.39, 2 Tl 3.29-3.50
13 Tl 0.5696 0.0742 0.6072  5 Te 3.21-3.39, 2 Tl 3.29-3.50
14 Tl 0.6863 0.6984 0.1199  2 Zr 3.19-3.22, 4 Te 3.29-3.49, 1 Tl 3.50
15 Tl 0.6984 0.6863 0.6199  2 Zr 3.19-3.22, 4 Te 3.29-3.49, 1 Tl 3.50
16 Tl 0.9258 0.4304 0.8928  5 Te 3.21-3.39, 2 Tl 3.29-3.50
17 Te 0.0658 0.9342 0.2500  2 Zr 2.89
18 Te 0.0791 0.5935 0.7417  4 Zr 2.87-3.16
19 Te 0.1850 0.1872 0.5526  3 Zr 3.00-3.31
20 Te 0.1872 0.1850 0.0526  3 Zr 3.00-3.31
21 Te 0.2336 0.6738 0.4915  2 Zr 2.80-2.93
22 Te 0.3262 0.7664 0.0085  2 Zr 2.80-2.93
23 Te 0.4065 0.9209 0.7583  4 Zr 2.87-3.16
24 Te 0.4171 0.5829 0.2500  2 Zr 2.85
25 Te 0.5829 0.4171 0.7500  2 Zr 2.85
26 Te 0.5935 0.0791 0.2417  4 Zr 2.87-3.16
27 Te 0.6738 0.2336 0.9915  2 Zr 2.80-2.93
28 Te 0.7664 0.3262 0.5085  2 Zr 2.80-2.93
29 Te 0.8128 0.8150 0.9474  3 Zr 3.00-3.31
30 Te 0.8150 0.8128 0.4474  3 Zr 3.00-3.31
31 Te 0.9209 0.4065 0.2583  4 Zr 2.87-3.16
32 Te 0.9342 0.0658 0.7500  2 Zr 2.89